1.
Pm3Eu PBE relaxed; density = 6.79 Mg/m³; total DFT energy (no corrections) = -6.06 eV per atom; E_form = 76 meV/atom; polymorph energy (0 for the lowest one) = 0.06 eV per formula unit; M_tot = 1.8877 μB per atom; V = 35.9 Å³ per atom; N(E_F) = 14.5 states/eV/cell; space group = No. 194
1.0
3.733 -6.466 0.000
3.733 6.466 0.000
0.000 0.000 5.944
Pm Eu
6 2
Cartesian
5.634 -1.058 4.458
3.733 4.350 1.486
5.634 1.058 1.486
3.733 -4.350 4.458
1.833 1.058 1.486
1.833 -1.058 4.458
3.733 -2.155 1.486
3.733 2.155 4.458

***

2.
PmEu6 PBE relaxed; density = 5.91 Mg/m³; total DFT energy (no corrections) = -8.41 eV per atom; E_form = 1073 meV/atom; M_tot = 6.4606 μB per atom; V = 42.4 Å³ per atom; N(E_F) = 13.8 states/eV/cell; space group = No. 229
1.0
-6.846 0.563 2.409
4.099 -3.235 5.072
2.641 6.641 -1.381
Eu Pm
6 1
Cartesian
0.311 -0.484 4.663
-0.418 4.454 1.437
2.318 3.505 2.103
2.683 1.035 3.716
-2.789 2.935 2.385
-2.425 0.465 3.998
0.000 0.000 0.000

***

3.
Pm3Eu PBE relaxed; density = 6.81 Mg/m³; total DFT energy (no corrections) = -6.07 eV per atom; E_form = 63 meV/atom; polymorph energy (0 for the lowest one) = 0.01 eV per formula unit; M_tot = 1.8209 μB per atom; V = 35.8 Å³ per atom; N(E_F) = 5.9 states/eV/cell; space group = No. 25
1.0
3.713 0.000 0.000
0.000 5.942 0.000
0.000 0.000 6.487
Eu Pm
1 3
Cartesian
0.000 2.971 2.149
1.857 2.971 5.400
0.000 0.000 6.453
1.857 0.000 3.297

***

4.
PmEu3 PBE relaxed; density = 6.33 Mg/m³; total DFT energy (no corrections) = -8.81 eV per atom; E_form = 81 meV/atom; polymorph energy (0 for the lowest one) = 0.00 eV per formula unit; M_tot = 5.6119 μB per atom; V = 39.4 Å³ per atom; N(E_F) = 10.0 states/eV/cell; space group = No. 194
1.0
7.670 0.000 0.000
-3.835 6.643 0.000
0.000 0.000 6.190
Eu Pm
6 2
Cartesian
-1.892 5.521 1.547
1.892 5.521 1.547
5.727 1.122 4.642
0.000 2.243 1.547
1.943 1.122 4.642
3.835 4.399 4.642
3.835 2.214 1.547
0.000 4.428 4.642

***

5.
Pm3Eu PBE relaxed; density = 6.80 Mg/m³; total DFT energy (no corrections) = -6.07 eV per atom; E_form = 60 meV/atom; polymorph energy (0 for the lowest one) = 0.00 eV per formula unit; M_tot = 1.8272 μB per atom; V = 35.8 Å³ per atom; N(E_F) = 6.0 states/eV/cell; space group = No. 44
1.0
3.719 0.000 0.000
0.000 6.475 0.000
-1.859 -3.238 5.952
Eu Pm
1 3
Cartesian
0.000 6.464 0.000
1.859 3.244 0.000
1.859 -1.077 3.045
0.000 2.161 2.907

***

6.
PmEu3 PBE relaxed; density = 6.35 Mg/m³; total DFT energy (no corrections) = -8.79 eV per atom; E_form = 105 meV/atom; polymorph energy (0 for the lowest one) = 0.10 eV per formula unit; M_tot = 1.9743 μB per atom; V = 39.3 Å³ per atom; N(E_F) = 17.8 states/eV/cell; space group = No. 139
1.0
-3.675 -0.346 3.876
2.099 -4.665 1.574
4.146 5.170 0.697
Eu Pm
3 1
Cartesian
2.728 -1.000 2.498
-0.788 -2.506 2.725
-0.159 1.160 3.649
0.000 0.000 0.000